Record 1
Entry from the Alexandria database: an optimized crystal structure of YHo2Hg (GGA-PBE).

The space group is P4/mmm (No. 123) and the conventional cell measures 4.791, 4.791 and 4.811 Å, with angles of 90.00, 90.00 and 90.00 degrees. The inequivalent atoms are Y at (0.000, 0.000, 0.000), Ho at (0.000, 0.500, 0.500) and Hg at (0.500, 0.500, 0.000).

The value obtained for the energy is -4.137 eV/atom. As for the calculated density: 9.3 g/cm3. The value obtained for the total magnetization is 0.6 μB per formula unit. The energy relative to the lowest polymorph listed for this composition comes out at 71 meV per atom. As for the energy of formation: -0.16 eV per atom.



Record 2
Entry from the Alexandria database: an optimized crystal structure of CuSb2P (GGA-PBE).

The space group is I-42d (No. 122) and the conventional cell measures 5.956, 5.956 and 11.871 Å, with angles of 90.00, 90.00 and 90.00 degrees. The inequivalent atoms are Cu at (0.000, 0.000, 0.000), Sb at (0.236, 0.250, 0.125) and P at (0.000, 0.000, 0.500).

The value obtained for the energy is -4.297 eV/atom. As for the calculated density: 5.3 g/cm3. The calculation puts the uncorrected formation energy at 0.6 eV/f.u. The value obtained for the total magnetization is 0.0 μB per formula unit.



Record 3
Entry from the Alexandria database: an optimized crystal structure of Sm4Sb3Cl (GGA-PBE).

The space group is I4/mmm (No. 139) and the conventional cell measures 6.218, 6.218 and 12.491 Å, with angles of 90.00, 90.00 and 90.00 degrees. The inequivalent atoms are Sm at (0.000, 0.000, 0.244), Sm at (0.000, 0.500, 0.000), Sb at (0.000, 0.000, 0.000), Sb at (0.000, 0.500, 0.250) and Cl at (0.000, 0.000, 0.500).

The value obtained for the energy is -5.369 eV/atom. As for the calculated density: 6.9 g/cm3. The calculation puts the uncorrected formation energy at -9.9 eV/f.u. The value obtained for the total magnetization is 0.0 μB per formula unit.



Record 4
Entry from the Alexandria database: an optimized crystal structure of Sc2V2SiRu5 (GGA-PBE).

The space group is P4/mbm (No. 127) and the conventional cell measures 9.994, 9.994 and 3.081 Å, with angles of 90.00, 90.00 and 90.00 degrees. The inequivalent atoms are Sc at (0.170, 0.330, 0.000), V at (0.134, 0.634, 0.000), Si at (0.000, 0.000, 0.000), Ru at (0.000, 0.500, 0.500) and Ru at (0.063, 0.808, 0.500).

The value obtained for the energy is -8.627 eV/atom. As for the calculated density: 7.8 g/cm3. The calculation puts the uncorrected formation energy at -3.6 eV/f.u. The value obtained for the total magnetization is 0.0 μB per formula unit.



Record 5
Entry from the Alexandria database: an optimized crystal structure of Tb2TmBe (GGA-PBE).

The space group is R-3m (No. 166, hexagonal axes) and the conventional cell measures 3.4071, 3.4071 and 34.1356 Å, with angles of 90.00, 90.00 and 120.00 degrees. The inequivalent atoms are Tb at (0.0000, 0.0000, 0.0848), Tm at (0.0000, 0.0000, 0.5000) and Be at (0.0000, 0.0000, 0.0000).

The value obtained for the energy is -3.690 eV/atom. As for the calculated density: 7.2 g/cm3. The value obtained for the total magnetization is 0.0 μB per formula unit. The energy relative to the lowest polymorph listed for this composition comes out at 596 meV per atom. As for the energy of formation: 0.67 eV per atom.



Record 6
Entry from the Alexandria database: an optimized crystal structure of CaTa2Ni (GGA-PBE).

The space group is I4_1/amd (No. 141, origin choice 2) and the conventional cell measures 5.007, 5.007 and 17.012 Å, with angles of 90.00, 90.00 and 90.00 degrees. The inequivalent atoms are Ca at (0.000, 0.250, 0.375), Ta at (0.000, 0.000, 0.000) and Ni at (0.000, 0.250, 0.875).

The value obtained for the energy is -6.777 eV/atom. As for the calculated density: 7.2 g/cm3. The value obtained for the total magnetization is 0.0 μB per formula unit. The energy relative to the lowest polymorph listed for this composition comes out at 889 meV per atom. As for the energy of formation: 1.10 eV per atom.



Record 7
Entry from the Alexandria database: an optimized crystal structure of Ta4NiTe (GGA-PBE).

The space group is F-43m (No. 216) and the conventional cell measures 7.744, 7.744 and 7.744 Å, with angles of 90.00, 90.00 and 90.00 degrees. The inequivalent atoms are Ta at (0.124, 0.124, 0.376), Ni at (0.250, 0.250, 0.750) and Te at (0.000, 0.000, 0.000).

The value obtained for the energy is -8.734 eV/atom. As for the calculated density: 13.0 g/cm3. The calculation puts the uncorrected formation energy at 3.9 eV/f.u. The value obtained for the total magnetization is 0.0 μB per formula unit.



Record 8
Entry from the Alexandria database: an optimized crystal structure of PuNpTlO6 (GGA-PBE).

The space group is Imma (No. 74) and the conventional cell measures 7.798, 7.926 and 11.187 Å, with angles of 90.00, 90.00 and 90.00 degrees. The inequivalent atoms are Pu at (0.250, 0.250, 0.250), Np at (0.000, 0.000, 0.000), Tl at (0.000, 0.250, 0.566), O at (0.000, 0.250, 0.323), O at (0.000, 0.250, 0.939) and O at (0.189, 0.060, 0.121).

The value obtained for the energy is -9.023 eV/atom. As for the calculated density: 7.5 g/cm3. The calculation puts the uncorrected formation energy at -21.8 eV/f.u. The value obtained for the total magnetization is 4.0 μB per formula unit.



Record 9
Entry from the Alexandria database: an optimized crystal structure of Y4TmAg (GGA-PBE).

The space group is Cmc2_1 (No. 36) and the conventional cell measures 5.440, 20.750 and 6.427 Å, with angles of 90.00, 90.00 and 90.00 degrees. The inequivalent atoms are Y at (0.000, 0.036, 0.000), Y at (0.000, 0.178, 0.805), Y at (0.000, 0.244, 0.291), Y at (0.000, 0.434, 0.164), Tm at (0.000, 0.365, 0.664) and Ag at (0.000, 0.103, 0.408).

The value obtained for the energy is -5.486 eV/atom. As for the calculated density: 5.8 g/cm3. The value obtained for the total magnetization is 0.0 μB per formula unit. The energy relative to the lowest polymorph listed for this composition comes out at 123 meV per atom. As for the energy of formation: 0.04 eV per atom.



Record 10
Entry from the Alexandria database: an optimized crystal structure of Tb14PmPb (GGA-PBE).

The space group is Amm2 (No. 38) and the conventional cell measures 10.908, 8.422 and 11.088 Å, with angles of 90.00, 90.00 and 90.00 degrees. The inequivalent atoms are Tb at (0.000, 0.000, 0.000), Tb at (0.000, 0.000, 0.449), Tb at (0.000, 0.200, 0.729), Tb at (0.223, 0.000, 0.228), Tb at (0.255, 0.208, 0.509), Tb at (0.280, 0.000, 0.792), Tb at (0.500, 0.204, 0.298), Pm at (0.500, 0.000, 0.026) and Pb at (0.500, 0.000, 0.576).

The value obtained for the energy is -4.606 eV/atom. As for the calculated density: 8.4 g/cm3. The value obtained for the total magnetization is 0.0 μB per formula unit. As for the energy of formation: -0.03 eV per atom.



Record 11
Entry from the Alexandria database: an optimized crystal structure of TlGaPt2 (GGA-PBE).

The space group is R3m (No. 160, hexagonal axes) and the conventional cell measures 4.1181, 4.1181 and 15.7296 Å, with angles of 90.00, 90.00 and 120.00 degrees. The inequivalent atoms are Tl at (0.0000, 0.0000, 0.0000), Ga at (0.0000, 0.0000, 0.8206), Pt at (0.0000, 0.0000, 0.2216) and Pt at (0.0000, 0.0000, 0.4366).

The value obtained for the energy is -4.628 eV/atom. As for the calculated density: 14.3 g/cm3. The value obtained for the total magnetization is 0.0 μB per formula unit. As for the energy of formation: -0.26 eV per atom.



Record 12
Entry from the Alexandria database: an optimized crystal structure of K2BCl6 (GGA-PBE).

The space group is I4/mmm (No. 139) and the conventional cell measures 6.866, 6.866 and 9.547 Å, with angles of 90.00, 90.00 and 90.00 degrees. The inequivalent atoms are K at (0.000, 0.500, 0.250), B at (0.000, 0.000, 0.000), Cl at (0.000, 0.000, 0.221) and Cl at (0.220, 0.220, 0.000).

The value obtained for the energy is -3.130 eV/atom. As for the calculated density: 2.2 g/cm3. The calculation puts the uncorrected formation energy at -8.2 eV/f.u. The value obtained for the total magnetization is 0.7 μB per formula unit.